NdEr7Tm4 | PBE | optimized geometry

SG ... No. 2
E_form ... -1 meV/atom
Calculated total energy ... -54.61 eV/cell

The structure in CIF format:
```
data_NdEr7Tm4
_chemical_formula_sum 'Nd1 Er7 Tm4'
_cell_length_a 6.135
_cell_length_b 7.087
_cell_length_c 8.720
_cell_angle_alpha 89.90
_cell_angle_beta 76.34
_cell_angle_gamma 89.85
_symmetry_space_group_name_H-M 'P 1'
_symmetry_Int_Tables_number 1
_symmetry_space_group_name_Hall 'P 1'
loop_
_atom_site_label
_atom_site_fract_x
_atom_site_fract_y
_atom_site_fract_z
_atom_site_occupancy
Nd1 0.000 0.000 0.000 1
Er1 0.000 0.500 0.000 1
Er2 0.222 0.001 0.335 1
Er3 0.279 0.748 0.664 1
Er4 0.500 0.251 0.000 1
Er5 0.500 0.749 0.000 1
Er6 0.721 0.252 0.336 1
Er7 0.778 0.999 0.665 1
Tm1 0.221 0.500 0.335 1
Tm2 0.279 0.251 0.665 1
Tm3 0.721 0.749 0.335 1
Tm4 0.779 0.500 0.665 1
```

***

Nd7Er12Tm | PBE | optimized geometry

SG ... No. 148
E_form ... 230 meV/atom
Calculated total energy ... -88.00 eV/cell

The structure in CIF format:
```
data_Nd7Er12Tm
_chemical_formula_sum 'Nd7 Er12 Tm1'
_cell_length_a 8.754
_cell_length_b 8.754
_cell_length_c 8.754
_cell_angle_alpha 85.85
_cell_angle_beta 85.85
_cell_angle_gamma 85.85
_symmetry_space_group_name_H-M 'P 1'
_symmetry_Int_Tables_number 1
_symmetry_space_group_name_Hall 'P 1'
loop_
_atom_site_label
_atom_site_fract_x
_atom_site_fract_y
_atom_site_fract_z
_atom_site_occupancy
Nd1 0.000 0.000 0.000 1
Nd2 0.101 0.419 0.344 1
Nd3 0.344 0.101 0.419 1
Nd4 0.419 0.344 0.101 1
Nd5 0.581 0.656 0.899 1
Nd6 0.656 0.899 0.581 1
Nd7 0.899 0.581 0.656 1
Er1 0.003 0.884 0.364 1
Er2 0.116 0.636 0.997 1
Er3 0.228 0.356 0.751 1
Er4 0.249 0.772 0.644 1
Er5 0.356 0.751 0.228 1
Er6 0.364 0.003 0.884 1
Er7 0.636 0.997 0.116 1
Er8 0.644 0.249 0.772 1
Er9 0.751 0.228 0.356 1
Er10 0.772 0.644 0.249 1
Er11 0.884 0.364 0.003 1
Er12 0.997 0.116 0.636 1
Tm1 0.500 0.500 0.500 1
```

***

Nd2Er6Tm | PBE | optimized geometry

SG ... No. 15
E_form ... 114 meV/atom
Calculated total energy ... -80.72 eV/cell

The structure in CIF format:
```
data_Nd2Er6Tm
_chemical_formula_sum 'Nd4 Er12 Tm2'
_cell_length_a 9.539
_cell_length_b 9.539
_cell_length_c 6.527
_cell_angle_alpha 99.30
_cell_angle_beta 99.30
_cell_angle_gamma 96.17
_symmetry_space_group_name_H-M 'P 1'
_symmetry_Int_Tables_number 1
_symmetry_space_group_name_Hall 'P 1'
loop_
_atom_site_label
_atom_site_fract_x
_atom_site_fract_y
_atom_site_fract_z
_atom_site_occupancy
Nd1 0.118 0.169 0.374 1
Nd2 0.169 0.118 0.874 1
Nd3 0.831 0.882 0.126 1
Nd4 0.882 0.831 0.626 1
Er1 0.039 0.441 0.731 1
Er2 0.153 0.775 0.996 1
Er3 0.225 0.847 0.504 1
Er4 0.278 0.459 0.187 1
Er5 0.441 0.039 0.231 1
Er6 0.459 0.278 0.687 1
Er7 0.541 0.722 0.313 1
Er8 0.559 0.961 0.769 1
Er9 0.722 0.541 0.813 1
Er10 0.775 0.153 0.496 1
Er11 0.847 0.225 0.004 1
Er12 0.961 0.559 0.269 1
Tm1 0.383 0.617 0.750 1
Tm2 0.617 0.383 0.250 1
```

***

Nd3Er3Tm | PBE | optimized geometry

SG ... No. 148
E_form ... 173 meV/atom
Calculated total energy ... -62.51 eV/cell

The structure in CIF format:
```
data_Nd3Er3Tm
_chemical_formula_sum 'Nd6 Er6 Tm2'
_cell_length_a 14.792
_cell_length_b 14.792
_cell_length_c 14.792
_cell_angle_alpha 24.19
_cell_angle_beta 24.19
_cell_angle_gamma 24.19
_symmetry_space_group_name_H-M 'P 1'
_symmetry_Int_Tables_number 1
_symmetry_space_group_name_Hall 'P 1'
loop_
_atom_site_label
_atom_site_fract_x
_atom_site_fract_y
_atom_site_fract_z
_atom_site_occupancy
Nd1 0.131 0.461 0.800 1
Nd2 0.200 0.869 0.539 1
Nd3 0.461 0.800 0.131 1
Nd4 0.539 0.200 0.869 1
Nd5 0.800 0.131 0.461 1
Nd6 0.869 0.539 0.200 1
Er1 0.064 0.731 0.397 1
Er2 0.269 0.603 0.936 1
Er3 0.397 0.064 0.731 1
Er4 0.603 0.936 0.269 1
Er5 0.731 0.397 0.064 1
Er6 0.936 0.269 0.603 1
Tm1 0.333 0.333 0.333 1
Tm2 0.667 0.667 0.667 1
```

***

Nd4Er7Tm | PBE | optimized geometry

SG ... No. 2
E_form ... 90 meV/atom
Calculated total energy ... -54.40 eV/cell

The structure in CIF format:
```
data_Nd4Er7Tm
_chemical_formula_sum 'Nd4 Er7 Tm1'
_cell_length_a 6.534
_cell_length_b 6.817
_cell_length_c 9.038
_cell_angle_alpha 84.99
_cell_angle_beta 77.10
_cell_angle_gamma 81.68
_symmetry_space_group_name_H-M 'P 1'
_symmetry_Int_Tables_number 1
_symmetry_space_group_name_Hall 'P 1'
loop_
_atom_site_label
_atom_site_fract_x
_atom_site_fract_y
_atom_site_fract_z
_atom_site_occupancy
Nd1 0.140 0.308 0.285 1
Nd2 0.337 0.885 0.693 1
Nd3 0.663 0.115 0.307 1
Nd4 0.860 0.692 0.715 1
Er1 0.010 0.253 0.952 1
Er2 0.182 0.799 0.356 1
Er3 0.313 0.394 0.619 1
Er4 0.500 0.000 0.000 1
Er5 0.687 0.606 0.381 1
Er6 0.818 0.201 0.644 1
Er7 0.990 0.747 0.048 1
Tm1 0.500 0.500 0.000 1
```

***

Nd6Er3Tm | PBE | optimized geometry

SG ... No. 36
E_form ... 141 meV/atom
Calculated total energy ... -90.71 eV/cell

The structure in CIF format:
```
data_Nd6Er3Tm
_chemical_formula_sum 'Nd12 Er6 Tm2'
_cell_length_a 11.120
_cell_length_b 11.120
_cell_length_c 6.346
_cell_angle_alpha 90.00
_cell_angle_beta 90.00
_cell_angle_gamma 120.94
_symmetry_space_group_name_H-M 'P 1'
_symmetry_Int_Tables_number 1
_symmetry_space_group_name_Hall 'P 1'
loop_
_atom_site_label
_atom_site_fract_x
_atom_site_fract_y
_atom_site_fract_z
_atom_site_occupancy
Nd1 0.036 0.964 0.500 1
Nd2 0.060 0.485 0.049 1
Nd3 0.280 0.720 0.743 1
Nd4 0.286 0.374 0.853 1
Nd5 0.374 0.286 0.353 1
Nd6 0.485 0.060 0.549 1
Nd7 0.515 0.940 0.049 1
Nd8 0.626 0.714 0.853 1
Nd9 0.714 0.626 0.353 1
Nd10 0.720 0.280 0.243 1
Nd11 0.940 0.515 0.549 1
Nd12 0.964 0.036 0.000 1
Er1 0.053 0.279 0.426 1
Er2 0.279 0.053 0.926 1
Er3 0.387 0.613 0.319 1
Er4 0.613 0.387 0.819 1
Er5 0.721 0.947 0.426 1
Er6 0.947 0.721 0.926 1
Tm1 0.195 0.805 0.288 1
Tm2 0.805 0.195 0.788 1
```